Record 1
DFT (PBE-GGA) results for Er3TmAs4 after structural relaxation.

Properties
final energy = -97.8 eV for the cell shown

```
data_Er3TmAs4
_chemical_formula_sum 'Er6 Tm2 As8'
_cell_length_a 8.142
_cell_length_b 11.515
_cell_length_c 4.072
_cell_angle_alpha 90.00
_cell_angle_beta 90.00
_cell_angle_gamma 90.00
_symmetry_space_group_name_H-M 'C m m m'
_symmetry_Int_Tables_number 65
_symmetry_space_group_name_Hall '-C 2 2'
loop_
_atom_site_label
_atom_site_type_symbol
_atom_site_fract_x
_atom_site_fract_y
_atom_site_fract_z
Er1 Er 0.000 0.000 0.000
Er2 Er 0.250 0.250 0.500
Tm1 Tm 0.000 0.500 0.000
As1 As 0.000 0.250 0.000
As2 As 0.249 0.500 0.500
```

=====

Record 2
DFT (PBE-GGA) results for ErTm2As3 after structural relaxation.

Properties
final energy = -36.5 eV for the cell shown

```
data_ErTm2As3
_chemical_formula_sum 'Er1 Tm2 As3'
_cell_length_a 4.0596
_cell_length_b 4.0596
_cell_length_c 9.9751
_cell_angle_alpha 90.00
_cell_angle_beta 90.00
_cell_angle_gamma 120.00
_symmetry_space_group_name_H-M 'P -3 m 1'
_symmetry_Int_Tables_number 164
_symmetry_space_group_name_Hall '-P 3 2"'
loop_
_atom_site_label
_atom_site_type_symbol
_atom_site_fract_x
_atom_site_fract_y
_atom_site_fract_z
Er1 Er 0.0000 0.0000 0.0000
Tm1 Tm 0.3333 0.6667 0.3334
As1 As 0.0000 0.0000 0.5000
As2 As 0.3333 0.6667 0.8331
```

=====

Record 3
DFT (PBE-GGA) results for Y2ErAs3 after structural relaxation.

Properties
final energy = -40.7 eV for the cell shown

```
data_Y2ErAs3
_chemical_formula_sum 'Y2 Er1 As3'
_cell_length_a 4.1066
_cell_length_b 4.1066
_cell_length_c 10.0532
_cell_angle_alpha 90.00
_cell_angle_beta 90.00
_cell_angle_gamma 120.00
_symmetry_space_group_name_H-M 'P -3 m 1'
_symmetry_Int_Tables_number 164
_symmetry_space_group_name_Hall '-P 3 2"'
loop_
_atom_site_label
_atom_site_type_symbol
_atom_site_fract_x
_atom_site_fract_y
_atom_site_fract_z
Y1 Y 0.3333 0.6667 0.3323
Er1 Er 0.0000 0.0000 0.0000
As1 As 0.0000 0.0000 0.5000
As2 As 0.3333 0.6667 0.8360
```

=====

Record 4
DFT (PBE-GGA) results for YErAs after structural relaxation.

Properties
final energy = -71.7 eV for the cell shown

```
data_YErAs
_chemical_formula_sum 'Y4 Er4 As4'
_cell_length_a 6.777
_cell_length_b 6.777
_cell_length_c 6.777
_cell_angle_alpha 90.00
_cell_angle_beta 90.00
_cell_angle_gamma 90.00
_symmetry_space_group_name_H-M 'F -4 3 m'
_symmetry_Int_Tables_number 216
_symmetry_space_group_name_Hall 'F -4 2 3'
loop_
_atom_site_label
_atom_site_type_symbol
_atom_site_fract_x
_atom_site_fract_y
_atom_site_fract_z
Y1 Y 0.000 0.000 0.000
Er1 Er 0.000 0.000 0.500
As1 As 0.250 0.250 0.750
```

=====

Record 5
DFT (PBE-GGA) results for ErZnAs after structural relaxation.

Properties
final energy = -45.6 eV for the cell shown

```
data_ErZnAs
_chemical_formula_sum 'Er4 Zn4 As4'
_cell_length_a 6.435
_cell_length_b 6.435
_cell_length_c 6.435
_cell_angle_alpha 90.00
_cell_angle_beta 90.00
_cell_angle_gamma 90.00
_symmetry_space_group_name_H-M 'F -4 3 m'
_symmetry_Int_Tables_number 216
_symmetry_space_group_name_Hall 'F -4 2 3'
loop_
_atom_site_label
_atom_site_type_symbol
_atom_site_fract_x
_atom_site_fract_y
_atom_site_fract_z
Er1 Er 0.000 0.000 0.000
Zn1 Zn 0.250 0.250 0.750
As1 As 0.000 0.000 0.500
```

=====

Record 6
DFT (PBE-GGA) results for ErZnAs after structural relaxation.

Properties
final energy = -47.4 eV for the cell shown

```
data_ErZnAs
_chemical_formula_sum 'Er4 Zn4 As4'
_cell_length_a 6.680
_cell_length_b 6.680
_cell_length_c 6.680
_cell_angle_alpha 90.00
_cell_angle_beta 90.00
_cell_angle_gamma 90.00
_symmetry_space_group_name_H-M 'F -4 3 m'
_symmetry_Int_Tables_number 216
_symmetry_space_group_name_Hall 'F -4 2 3'
loop_
_atom_site_label
_atom_site_type_symbol
_atom_site_fract_x
_atom_site_fract_y
_atom_site_fract_z
Er1 Er 0.000 0.000 0.000
Zn1 Zn 0.250 0.250 0.250
As1 As 0.250 0.250 0.750
```

=====

Calculated total moment in order - 0.00; 0.01; 0.00; 0.04; 0.00; 0.00 μB/f.u.